No. 1
# PBE KSeI2, relaxed
# Density (kg/m3): 3121
# DFT total energy (eV/cell): -37.337
# Formation energy (no corrections) (eV per atom): -0.413
data_KSeI2
_chemical_formula_sum 'K4 Se4 I8'
_cell_length_a 6.552
_cell_length_b 6.552
_cell_length_c 18.436
_cell_angle_alpha 90.00
_cell_angle_beta 90.00
_cell_angle_gamma 90.00
_symmetry_space_group_name_H-M 'I -4 2 d'
_symmetry_Int_Tables_number 122
_symmetry_space_group_name_Hall 'I -4 2bw'
loop_
_atom_site_label
_atom_site_type_symbol
_atom_site_fract_x
_atom_site_fract_y
_atom_site_fract_z
K1 K 0.000 0.000 0.000
Se1 Se 0.000 0.000 0.500
I1 I 0.153 0.250 0.625

No. 2
# PBE KSeI, relaxed
# Density (kg/m3): 2716
# DFT total energy (eV/cell): -16.951
# Formation energy (no corrections) (eV per atom): -0.781
data_KSeI
_chemical_formula_sum 'K2 Se2 I2'
_cell_length_a 6.096
_cell_length_b 5.363
_cell_length_c 9.230
_cell_angle_alpha 90.00
_cell_angle_beta 97.00
_cell_angle_gamma 90.00
_symmetry_space_group_name_H-M 'P 1 m 1'
_symmetry_Int_Tables_number 6
_symmetry_space_group_name_Hall 'P -2y'
loop_
_atom_site_label
_atom_site_type_symbol
_atom_site_fract_x
_atom_site_fract_y
_atom_site_fract_z
K1 K 0.000 0.000 0.000
K2 K 0.056 0.000 0.504
Se1 Se 0.013 0.500 0.251
Se2 Se 0.632 0.500 0.186
I1 I 0.047 0.500 0.754
I2 I 0.528 0.000 0.255

No. 3
# PBE K2Se2I, relaxed
# Density (kg/m3): 3167
# DFT total energy (eV/cell): -30.014
# Formation energy (no corrections) (eV per atom): -0.859
data_K2Se2I
_chemical_formula_sum 'K4 Se4 I2'
_cell_length_a 6.354
_cell_length_b 6.354
_cell_length_c 9.431
_cell_angle_alpha 90.00
_cell_angle_beta 90.00
_cell_angle_gamma 90.00
_symmetry_space_group_name_H-M 'I 4/m m m'
_symmetry_Int_Tables_number 139
_symmetry_space_group_name_Hall '-I 4 2'
loop_
_atom_site_label
_atom_site_type_symbol
_atom_site_fract_x
_atom_site_fract_y
_atom_site_fract_z
K1 K 0.000 0.500 0.250
Se1 Se 0.000 0.000 0.123
I1 I 0.000 0.000 0.500

No. 4
# PBE KSeI, relaxed
# Density (kg/m3): 3306
# DFT total energy (eV/cell): -8.229
# Formation energy (no corrections) (eV per atom): -0.699
data_KSeI
_chemical_formula_sum 'K1 Se1 I1'
_cell_length_a 4.705
_cell_length_b 4.865
_cell_length_c 5.544
_cell_angle_alpha 97.03
_cell_angle_beta 102.19
_cell_angle_gamma 90.37
_symmetry_space_group_name_H-M 'P 1'
_symmetry_Int_Tables_number 1
_symmetry_space_group_name_Hall 'P 1'
loop_
_atom_site_label
_atom_site_type_symbol
_atom_site_fract_x
_atom_site_fract_y
_atom_site_fract_z
K1 K 0.000 0.000 0.000
Se1 Se 0.489 0.495 0.965
I1 I 0.652 0.472 0.452

Number 1: polymorph energy (0 for the lowest one) 0 meV per atom. Number 2: polymorph energy (0 for the lowest one) 43 meV per atom. Number 3: polymorph energy (0 for the lowest one) 57 meV per atom. Number 4: polymorph energy (0 for the lowest one) 125 meV per atom.